The following is a DFT calculation (PBE) of an optimized crystal structure of VP2N.

abc: 5.2572 5.2572 5.2441
angles: 59.92 59.92 90.00
Each line ends with the local moment (μB).
Fractional positions:
P 0.5571 0.1250 0.2500  0.00
P 0.1929 0.6250 0.2500  0.00
P 0.3750 0.4429 0.7500  0.00
P 0.8750 0.8071 0.7500  0.00
V 0.0000 0.0000 0.0000  0.05
V 0.7500 0.2500 0.5000  0.05
N 0.5000 0.5000 0.0000  0.00
N 0.2500 0.7500 0.5000  0.00

## Properties
As for the formation energy without anion corrections: 28.0 kJ per mole of atoms. The value obtained for the magnetic moment is 0.06 μB per formula unit. Its total energy is -6.776 eV per atom.